1.
{
  "formula": "BaIn5Cu2",
  "functional": "meta-GGA SCAN",
  "state": "PBEsol geometry",
  "magmom_total_mub_per_fu": 0.0,
  "crystal_system": "monoclinic",
  "vol_a3_per_cell": 184.5,
  "space_group": "No. 12",
  "delta_e_f_ev_per_atom": -0.28,
  "lattice_angstrom": [[5.8115, -3.8797, 0.0000], [5.8115, 3.8797, 0.0000], [-1.6710, 0.0000, 4.0926]],
  "species": ["Ba", "In", "In", "In", "In", "In", "Cu", "Cu"],
  "fractional_positions": [[0.0000, 0.0000, 0.0000], [0.1509, 0.5400, 0.3454], [0.4600, 0.8491, 0.6546], [0.5000, 0.5000, 0.0000], [0.5400, 0.1509, 0.3454], [0.8491, 0.4600, 0.6546], [0.2598, 0.2598, 0.7604], [0.7402, 0.7402, 0.2396]]
}

=====

2.
{
  "formula": "BaInCu2",
  "functional": "meta-GGA SCAN",
  "state": "PBEsol geometry",
  "magmom_total_mub_per_fu": 0.0,
  "crystal_system": "monoclinic",
  "vol_a3_per_cell": 97.2,
  "space_group": "No. 8",
  "delta_e_f_ev_per_atom": -0.16,
  "lattice_angstrom": [[3.7515, -2.1683, 0.0000], [3.7515, 2.1683, 0.0000], [-2.5130, 0.0000, 5.9720]],
  "species": ["Ba", "In", "Cu", "Cu"],
  "fractional_positions": [[0.0000, 0.0000, 0.0000], [0.8100, 0.8100, 0.4279], [0.2007, 0.2007, 0.5987], [0.5290, 0.5290, 0.5837]]
}

=====

3.
{
  "formula": "BaInCu2",
  "functional": "meta-GGA SCAN",
  "state": "PBEsol geometry",
  "magmom_total_mub_per_fu": 0.0,
  "crystal_system": "orthorhombic",
  "vol_a3_per_cell": 94.7,
  "space_group": "No. 38",
  "delta_e_f_ev_per_atom": -0.02,
  "lattice_angstrom": [[4.1171, 0.0000, 0.0000], [0.0000, 1.9444, 5.9178], [0.0000, -1.9444, 5.9178]],
  "species": ["Ba", "In", "Cu", "Cu"],
  "fractional_positions": [[0.0000, 0.0000, 0.0000], [0.5000, 0.7137, 0.7137], [0.0000, 0.2651, 0.2651], [0.5000, 0.3661, 0.3661]]
}

=====

4.
{
  "formula": "Ba2InCu",
  "functional": "meta-GGA SCAN",
  "state": "PBEsol geometry",
  "magmom_total_mub_per_fu": 0.0,
  "crystal_system": "orthorhombic",
  "vol_a3_per_cell": 133.3,
  "space_group": "No. 25",
  "delta_e_f_ev_per_atom": -0.17,
  "lattice_angstrom": [[3.9629, 0.0000, 0.0000], [0.0000, 5.7983, 0.0000], [0.0000, 0.0000, 5.8009]],
  "species": ["Ba", "Ba", "In", "Cu"],
  "fractional_positions": [[0.0000, 0.0000, 0.0000], [0.0000, 0.5000, 0.4942], [0.5000, 0.0000, 0.5021], [0.5000, 0.5000, 0.9863]]
}

=====

5.
{
  "formula": "BaInCu2",
  "functional": "meta-GGA SCAN",
  "state": "PBEsol geometry",
  "magmom_total_mub_per_fu": 0.0,
  "crystal_system": "tetragonal",
  "vol_a3_per_cell": 84.8,
  "space_group": "No. 99",
  "delta_e_f_ev_per_atom": 0.10,
  "lattice_angstrom": [[3.3206, 0.0000, 0.0000], [0.0000, 3.3206, 0.0000], [0.0000, 0.0000, 7.6923]],
  "species": ["Ba", "In", "Cu", "Cu"],
  "fractional_positions": [[0.0000, 0.0000, 0.0000], [0.5000, 0.5000, 0.6420], [0.0000, 0.0000, 0.4301], [0.5000, 0.5000, 0.3010]]
}

=====

6.
{
  "formula": "Ba3In4Cu3O12",
  "functional": "meta-GGA SCAN",
  "state": "PBEsol geometry",
  "magmom_total_mub_per_fu": 3.0,
  "crystal_system": "tetragonal",
  "vol_a3_per_cell": 626.7,
  "space_group": "No. 140",
  "formation_energy_uncorrected_ev_per_atom": -1.842,
  "lattice_angstrom": [[-6.0729, 6.0729, 4.2485], [6.0729, -6.0729, 4.2485], [6.0729, 6.0729, -4.2485]],
  "species": ["Ba", "Ba", "Ba", "Ba", "Ba", "Ba", "In", "In", "In", "In", "In", "In", "In", "In", "Cu", "Cu", "Cu", "Cu", "Cu", "Cu", "O", "O", "O", "O", "O", "O", "O", "O", "O", "O", "O", "O", "O", "O", "O", "O", "O", "O", "O", "O", "O", "O", "O", "O"],
  "fractional_positions": [[0.0000, 0.0000, 0.0000], [0.2221, 0.7221, 0.9443], [0.2779, 0.2221, 0.5000], [0.5000, 0.5000, 0.0000], [0.7221, 0.7779, 0.5000], [0.7779, 0.2779, 0.0557], [0.0067, 0.2500, 0.7567], [0.2500, 0.0067, 0.7567], [0.2500, 0.4933, 0.2433], [0.4933, 0.2500, 0.2433], [0.5067, 0.7500, 0.7567], [0.7500, 0.5067, 0.7567], [0.7500, 0.9933, 0.2433], [0.9933, 0.7500, 0.2433], [0.1020, 0.3980, 0.5000], [0.2500, 0.7500, 0.5000], [0.3980, 0.8980, 0.2960], [0.6020, 0.1020, 0.7040], [0.7500, 0.2500, 0.5000], [0.8980, 0.6020, 0.5000], [0.0011, 0.2710, 0.2721], [0.1140, 0.8396, 0.5000], [0.1203, 0.1203, 0.7407], [0.1203, 0.3797, 0.0000], [0.1604, 0.6604, 0.2744], [0.2290, 0.4989, 0.7279], [0.2710, 0.9989, 0.2698], [0.3396, 0.6140, 0.5000], [0.3797, 0.1203, 0.0000], [0.3797, 0.3797, 0.2593], [0.3860, 0.8860, 0.7256], [0.4989, 0.7710, 0.2698], [0.5011, 0.2290, 0.7302], [0.6140, 0.1140, 0.2744], [0.6203, 0.6203, 0.7407], [0.6203, 0.8797, 0.0000], [0.6604, 0.3860, 0.5000], [0.7290, 0.0011, 0.7302], [0.7710, 0.5011, 0.2721], [0.8396, 0.3396, 0.7256], [0.8797, 0.6203, 0.0000], [0.8797, 0.8797, 0.2593], [0.8860, 0.1604, 0.5000], [0.9989, 0.7290, 0.7279]]
}

=====

7.
{
  "formula": "BaTl2InCu",
  "functional": "meta-GGA SCAN",
  "state": "PBEsol geometry",
  "magmom_total_mub_per_fu": 0.0,
  "crystal_system": "tetragonal",
  "vol_a3_per_cell": 204.2,
  "space_group": "No. 123",
  "delta_e_f_ev_per_atom": 0.47,
  "lattice_angstrom": [[5.5179, 0.0000, 0.0000], [0.0000, 5.5179, 0.0000], [0.0000, 0.0000, 6.7063]],
  "species": ["Ba", "Tl", "Tl", "In", "Cu"],
  "fractional_positions": [[0.0000, 0.0000, 0.0000], [0.0000, 0.5000, 0.5000], [0.5000, 0.0000, 0.5000], [0.0000, 0.0000, 0.5000], [0.5000, 0.5000, 0.0000]]
}

=====

8.
{
  "formula": "BaCu2Ir",
  "functional": "meta-GGA SCAN",
  "state": "PBEsol geometry",
  "e_above_lowest_polymorph_ev_per_atom": 0.739,
  "magmom_total_mub_per_fu": 0.0,
  "crystal_system": "tetragonal",
  "vol_a3_per_cell": 71.7,
  "space_group": "No. 123",
  "delta_e_f_ev_per_atom": 0.66,
  "lattice_angstrom": [[4.3511, 0.0000, 0.0000], [0.0000, 4.3511, 0.0000], [0.0000, 0.0000, 3.7879]],
  "species": ["Ba", "Cu", "Cu", "Ir"],
  "fractional_positions": [[0.0000, 0.0000, 0.0000], [0.0000, 0.5000, 0.5000], [0.5000, 0.0000, 0.5000], [0.5000, 0.5000, 0.0000]]
}

=====

9.
{
  "formula": "Ba2CuIr",
  "functional": "meta-GGA SCAN",
  "state": "PBEsol geometry",
  "e_above_lowest_polymorph_ev_per_atom": 0.411,
  "magmom_total_mub_per_fu": 0.2,
  "crystal_system": "tetragonal",
  "vol_a3_per_cell": 123.5,
  "space_group": "No. 123",
  "delta_e_f_ev_per_atom": 0.31,
  "lattice_angstrom": [[4.4746, 0.0000, 0.0000], [0.0000, 4.4746, 0.0000], [0.0000, 0.0000, 6.1660]],
  "species": ["Ba", "Ba", "Cu", "Ir"],
  "fractional_positions": [[0.0000, 0.0000, 0.0000], [0.5000, 0.5000, 0.5000], [0.0000, 0.0000, 0.5000], [0.5000, 0.5000, 0.0000]]
}

=====

10.
{
  "formula": "Ba2CuIr",
  "functional": "meta-GGA SCAN",
  "state": "PBEsol geometry",
  "e_above_lowest_polymorph_ev_per_atom": 0.225,
  "magmom_total_mub_per_fu": 0.0,
  "crystal_system": "cubic",
  "vol_a3_per_cell": 105.9,
  "space_group": "No. 225",
  "delta_e_f_ev_per_atom": 0.12,
  "lattice_angstrom": [[0.0000, 3.7553, 3.7553], [3.7553, 0.0000, 3.7553], [3.7553, 3.7553, 0.0000]],
  "species": ["Ba", "Ba", "Cu", "Ir"],
  "fractional_positions": [[0.2500, 0.2500, 0.2500], [0.7500, 0.7500, 0.7500], [0.0000, 0.0000, 0.0000], [0.5000, 0.5000, 0.5000]]
}

=====

11.
{
  "formula": "BaCu2Ir",
  "functional": "meta-GGA SCAN",
  "state": "PBEsol geometry",
  "e_above_lowest_polymorph_ev_per_atom": 0.009,
  "magmom_total_mub_per_fu": 0.0,
  "crystal_system": "trigonal",
  "vol_a3_per_cell": 86.1,
  "space_group": "No. 160",
  "delta_e_f_ev_per_atom": -0.07,
  "lattice_angstrom": [[2.1416, 1.2365, 5.4166], [-2.1416, 1.2365, 5.4166], [0.0000, -2.4729, 5.4166]],
  "species": ["Ba", "Cu", "Cu", "Ir"],
  "fractional_positions": [[0.0000, 0.0000, 0.0000], [0.5071, 0.5071, 0.5071], [0.8192, 0.8192, 0.8192], [0.1853, 0.1853, 0.1853]]
}

=====

12.
{
  "formula": "BaCu2Ir",
  "functional": "meta-GGA SCAN",
  "state": "PBEsol geometry",
  "e_above_lowest_polymorph_ev_per_atom": 0.000,
  "magmom_total_mub_per_fu": 0.0,
  "crystal_system": "trigonal",
  "vol_a3_per_cell": 84.4,
  "space_group": "No. 166",
  "delta_e_f_ev_per_atom": -0.08,
  "lattice_angstrom": [[2.1351, 1.2327, 5.3453], [-2.1351, 1.2327, 5.3453], [0.0000, -2.4654, 5.3453]],
  "species": ["Ba", "Cu", "Cu", "Ir"],
  "fractional_positions": [[0.0000, 0.0000, 0.0000], [0.1868, 0.1868, 0.1868], [0.8132, 0.8132, 0.8132], [0.5000, 0.5000, 0.5000]]
}